(1)
## ZnCo2Mo (PBE)

Data for crystalline ZnCo2Mo at its relaxed geometry.

Values from the calculation:
ρ = 9.25 g/cm3
total DFT energy (no corrections) = -6.555 eV per atom
Fermi-level density of states = 2.87 states/eV/f.u.
calculated formation energy = 0.024 eV per atom

a = 2.697 Å, b = 3.406 Å, c = 5.456 Å
α = 90.00°, β = 90.00°, γ = 90.00°
Space group Pmmm (No. 47)
Asymmetric unit:
Zn 0.000 0.000 0.000 [1 per cell]
Co 0.500 0.500 0.250 [2 per cell]
Mo 0.000 0.000 0.500 [1 per cell]

---

(2)
## Cs4K3CdH8 (PBE)

Data for crystalline Cs4K3CdH8 at its relaxed geometry.

Values from the calculation:
ρ = 3.17 g/cm3
total DFT energy (no corrections) = -2.191 eV per atom
Fermi-level density of states = 2.38 states/eV/f.u.

a = 14.445 Å, b = 8.140 Å, c = 8.317 Å
α = 90.00°, β = 124.46°, γ = 90.00°
Space group C2/m (No. 12)
Asymmetric unit:
Cs 0.000 0.000 0.000 [2 per cell]
Cs 0.000 0.500 0.000 [2 per cell]
Cs 0.250 0.250 0.000 [4 per cell]
K 0.000 0.000 0.500 [2 per cell]
K 0.250 0.250 0.500 [4 per cell]
Cd 0.000 0.500 0.500 [2 per cell]
H 0.004 0.314 0.326 [8 per cell]
H 0.237 0.000 0.712 [4 per cell]
H 0.244 0.500 0.722 [4 per cell]

---

(3)
## NiAgBr2 (PBE)

Data for crystalline NiAgBr2 at its relaxed geometry.

Values from the calculation:
relative energy among the computed polymorphs = 0.1557 eV/atom
ρ = 4.80 g/cm3
formation energy without anion corrections = 35.7 meV per atom
total DFT energy (no corrections) = -2.959 eV per atom
Fermi-level density of states = 5.40 states/eV/f.u.

a = 4.015 Å, b = 7.064 Å, c = 7.956 Å
α = 90.00°, β = 90.00°, γ = 90.00°
Space group Cmm2 (No. 35)
Asymmetric unit:
Ni 0.000 0.000 0.000 [2 per cell]
Ag 0.000 0.500 0.215 [2 per cell]
Br 0.000 0.000 0.415 [2 per cell]
Br 0.000 0.500 0.862 [2 per cell]

---

(4)
## Sn2BiPb5 (PBE)

Data for crystalline Sn2BiPb5 at its relaxed geometry.

Values from the calculation:
relative energy among the computed polymorphs = 0.0000 eV/atom
ρ = 10.00 g/cm3
total DFT energy (no corrections) = -3.752 eV per atom
Fermi-level density of states = 4.93 states/eV/f.u.
calculated formation energy = 0.051 eV per atom

a = 8.311 Å, b = 8.311 Å, c = 7.124 Å
α = 90.00°, β = 90.00°, γ = 90.00°
Space group I4mm (No. 107)
Asymmetric unit:
Sn 0.000 0.500 0.000 [4 per cell]
Bi 0.000 0.000 0.499 [2 per cell]
Pb 0.000 0.000 0.000 [2 per cell]
Pb 0.250 0.250 0.250 [8 per cell]

---

(5)
## ReMoAs2 (PBE)

Data for crystalline ReMoAs2 at its relaxed geometry.

Values from the calculation:
relative energy among the computed polymorphs = 0.4235 eV/atom
ρ = 11.11 g/cm3
total DFT energy (no corrections) = -7.677 eV per atom
Fermi-level density of states = 3.57 states/eV/f.u.
calculated formation energy = 0.467 eV per atom

a = 2.995 Å, b = 4.009 Å, c = 5.379 Å
α = 90.00°, β = 92.08°, γ = 90.00°
Space group P2/m (No. 10)
Asymmetric unit:
Re 0.000 0.000 0.000 [1 per cell]
Mo 0.500 0.000 0.500 [1 per cell]
As 0.144 0.500 0.741 [2 per cell]

---

(6)
## TcRhPb2O6 (PBE)

Data for crystalline TcRhPb2O6 at its relaxed geometry.

Values from the calculation:
ρ = 8.52 g/cm3
formation energy without anion corrections = -996.3 meV per atom
total DFT energy (no corrections) = -6.485 eV per atom
Fermi-level density of states = 3.77 states/eV/f.u.

a = 5.8098 Å, b = 5.8098 Å, c = 28.4518 Å
α = 90.00°, β = 90.00°, γ = 120.00°
Space group R-3m (No. 166, hexagonal axes)
Asymmetric unit:
Tc 0.0000 0.0000 0.0000 [3 per cell]
Tc 0.0000 0.0000 0.5000 [3 per cell]
Rh 0.0000 0.0000 0.0901 [6 per cell]
Pb 0.0000 0.0000 0.2258 [6 per cell]
Pb 0.0000 0.0000 0.3851 [6 per cell]
O 0.0189 0.5094 0.6218 [18 per cell]
O 0.0250 0.5125 0.2095 [18 per cell]

---

(7)
## Ga2SnSe2 (PBE)

Data for crystalline Ga2SnSe2 at its relaxed geometry.

Values from the calculation:
ρ = 5.89 g/cm3
formation energy without anion corrections = -91.7 meV per atom
total DFT energy (no corrections) = -3.497 eV per atom
Fermi-level density of states = 2.01 states/eV/f.u.

a = 3.864 Å, b = 3.864 Å, c = 15.729 Å
α = 90.00°, β = 90.00°, γ = 90.00°
Space group I4/mmm (No. 139)
Asymmetric unit:
Ga 0.000 0.500 0.250 [4 per cell]
Sn 0.000 0.000 0.000 [2 per cell]
Se 0.000 0.000 0.398 [4 per cell]

---

(8)
## RbErSnSe3 (PBE)

Data for crystalline RbErSnSe3 at its relaxed geometry.

Values from the calculation:
ρ = 4.77 g/cm3
formation energy without anion corrections = -1182.3 meV per atom
total DFT energy (no corrections) = -4.513 eV per atom

a = 4.100 Å, b = 17.486 Å, c = 11.826 Å
α = 90.00°, β = 90.00°, γ = 90.00°
Space group Cmcm (No. 63)
Asymmetric unit:
Rb 0.000 0.191 0.250 [4 per cell]
Er 0.000 0.500 0.000 [4 per cell]
Sn 0.000 0.113 0.750 [4 per cell]
Se 0.000 0.111 0.503 [8 per cell]
Se 0.000 0.494 0.250 [4 per cell]

---

(9)
## Sm3ErOs (PBE)

Data for crystalline Sm3ErOs at its relaxed geometry.

Values from the calculation:
ρ = 7.96 g/cm3
total DFT energy (no corrections) = -5.864 eV per atom
Fermi-level density of states = 6.77 states/eV/f.u.
calculated formation energy = 0.126 eV per atom

a = 5.526 Å, b = 5.526 Å, c = 5.526 Å
α = 90.00°, β = 90.00°, γ = 90.00°
Space group Pm-3m (No. 221)
Asymmetric unit:
Sm 0.000 0.000 0.500 [3 per cell]
Er 0.500 0.500 0.500 [1 per cell]
Os 0.000 0.000 0.000 [1 per cell]

---

(10)
## AcNi3Rh2 (PBE)

Data for crystalline AcNi3Rh2 at its relaxed geometry.

Values from the calculation:
ρ = 9.74 g/cm3
total DFT energy (no corrections) = -6.230 eV per atom
Fermi-level density of states = 7.67 states/eV/f.u.
calculated formation energy = -0.204 eV per atom

a = 9.743 Å, b = 8.247 Å, c = 5.168 Å
α = 90.00°, β = 90.00°, γ = 90.00°
Space group Cmcm (No. 63)
Asymmetric unit:
Ac 0.000 0.194 0.250 [4 per cell]
Ni 0.000 0.427 0.750 [4 per cell]
Ni 0.194 0.234 0.750 [8 per cell]
Rh 0.214 0.500 0.000 [8 per cell]

---

(11)
## YMgCrPd2 (PBE)

Data for crystalline YMgCrPd2 at its relaxed geometry.

Values from the calculation:
ρ = 4.85 g/cm3
total DFT energy (no corrections) = -4.784 eV per atom
Fermi-level density of states = 3.30 states/eV/f.u.
calculated formation energy = 0.829 eV per atom

a = 5.027 Å, b = 5.027 Å, c = 5.118 Å
α = 90.00°, β = 90.00°, γ = 90.00°
Space group P4/mmm (No. 123)
Asymmetric unit:
Y 0.000 0.000 0.000 [1 per cell]
Mg 0.500 0.500 0.500 [1 per cell]
Cr 0.000 0.000 0.500 [1 per cell]
Pd 0.000 0.500 0.000 [2 per cell]

---

(12)
## CaTlSbS3 (PBE)

Data for crystalline CaTlSbS3 at its relaxed geometry.

Values from the calculation:
ρ = 4.33 g/cm3
formation energy without anion corrections = -767.3 meV per atom
total DFT energy (no corrections) = -4.246 eV per atom

a = 5.132 Å, b = 12.949 Å, c = 10.674 Å
α = 90.00°, β = 90.00°, γ = 90.00°
Space group Cmcm (No. 63)
Asymmetric unit:
Ca 0.000 0.000 0.000 [4 per cell]
Tl 0.000 0.235 0.250 [4 per cell]
Sb 0.000 0.496 0.750 [4 per cell]
S 0.000 0.049 0.750 [4 per cell]
S 0.000 0.373 0.573 [8 per cell]

---

Please write out number 6 again, unchanged.
## TcRhPb2O6 (PBE)

Data for crystalline TcRhPb2O6 at its relaxed geometry.

Values from the calculation:
ρ = 8.52 g/cm3
formation energy without anion corrections = -996.3 meV per atom
total DFT energy (no corrections) = -6.485 eV per atom
Fermi-level density of states = 3.77 states/eV/f.u.

a = 5.8098 Å, b = 5.8098 Å, c = 28.4518 Å
α = 90.00°, β = 90.00°, γ = 120.00°
Space group R-3m (No. 166, hexagonal axes)
Asymmetric unit:
Tc 0.0000 0.0000 0.0000 [3 per cell]
Tc 0.0000 0.0000 0.5000 [3 per cell]
Rh 0.0000 0.0000 0.0901 [6 per cell]
Pb 0.0000 0.0000 0.2258 [6 per cell]
Pb 0.0000 0.0000 0.3851 [6 per cell]
O 0.0189 0.5094 0.6218 [18 per cell]
O 0.0250 0.5125 0.2095 [18 per cell]

---

Copy entry 3 word for word.
## NiAgBr2 (PBE)

Data for crystalline NiAgBr2 at its relaxed geometry.

Values from the calculation:
relative energy among the computed polymorphs = 0.1557 eV/atom
ρ = 4.80 g/cm3
formation energy without anion corrections = 35.7 meV per atom
total DFT energy (no corrections) = -2.959 eV per atom
Fermi-level density of states = 5.40 states/eV/f.u.

a = 4.015 Å, b = 7.064 Å, c = 7.956 Å
α = 90.00°, β = 90.00°, γ = 90.00°
Space group Cmm2 (No. 35)
Asymmetric unit:
Ni 0.000 0.000 0.000 [2 per cell]
Ag 0.000 0.500 0.215 [2 per cell]
Br 0.000 0.000 0.415 [2 per cell]
Br 0.000 0.500 0.862 [2 per cell]

---

Copy entry 10 word for word.
## AcNi3Rh2 (PBE)

Data for crystalline AcNi3Rh2 at its relaxed geometry.

Values from the calculation:
ρ = 9.74 g/cm3
total DFT energy (no corrections) = -6.230 eV per atom
Fermi-level density of states = 7.67 states/eV/f.u.
calculated formation energy = -0.204 eV per atom

a = 9.743 Å, b = 8.247 Å, c = 5.168 Å
α = 90.00°, β = 90.00°, γ = 90.00°
Space group Cmcm (No. 63)
Asymmetric unit:
Ac 0.000 0.194 0.250 [4 per cell]
Ni 0.000 0.427 0.750 [4 per cell]
Ni 0.194 0.234 0.750 [8 per cell]
Rh 0.214 0.500 0.000 [8 per cell]